[1]
This record from Alexandria describes a relaxed structure of MgSI3. The functional is PBE.

Total energy, eV per formula unit: -9.8
Energy above the lowest structure with this stoichiometry, meV/atom: 0.0
Energy relative to the elements, uncorrected, kJ/mol of atoms: 11
Density of states at the Fermi level, states/eV per cell: 6.35

POSCAR file:
```
MgSI3
1.0
-1.726 -2.975 4.591
5.470 -0.990 1.415
0.059 4.804 3.135
I S Mg
3 1 1
direct
0.000 0.500 0.000
0.000 0.000 0.500
0.500 0.000 0.000
0.500 0.500 0.500
0.000 0.000 0.000
```

=====

[2]
This record from Alexandria describes a relaxed structure of MgSI2. The functional is PBE.

Total energy, eV per formula unit: -8.1
Energy above the lowest structure with this stoichiometry, meV/atom: 241.3
Energy relative to the elements, uncorrected, kJ/mol of atoms: 19
Density of states at the Fermi level, states/eV per cell: 2.18

POSCAR file:
```
MgSI2
1.0
0.000 3.807 3.807
3.807 0.000 3.807
3.807 3.807 0.000
I S Mg
2 1 1
direct
0.250 0.250 0.250
0.750 0.750 0.750
0.500 0.500 0.500
0.000 0.000 0.000
```

=====

[3]
This record from Alexandria describes a relaxed structure of MgS3I. The functional is PBE.

Total energy, eV per formula unit: -13.8
Energy relative to the elements, uncorrected, kJ/mol of atoms: 34
Density of states at the Fermi level, states/eV per cell: 3.94

POSCAR file:
```
MgS3I
1.0
4.840 0.000 0.000
0.000 4.840 0.000
0.000 0.000 4.840
I S Mg
1 3 1
direct
0.500 0.500 0.500
0.000 0.500 0.000
0.000 0.000 0.500
0.500 0.000 0.000
0.000 0.000 0.000
```

=====

[4]
This record from Alexandria describes a relaxed structure of MgSI3. The functional is PBE.

Total energy, eV per formula unit: -9.5
Energy above the lowest structure with this stoichiometry, meV/atom: 53.5
Energy relative to the elements, uncorrected, kJ/mol of atoms: 16
Density of states at the Fermi level, states/eV per cell: 3.79

POSCAR file:
```
MgSI3
1.0
5.582 0.000 0.000
0.000 5.582 0.000
0.000 0.000 5.582
I S Mg
3 1 1
direct
0.000 0.500 0.000
0.000 0.000 0.500
0.500 0.000 0.000
0.000 0.000 0.000
0.500 0.500 0.500
```